The following is a DFT calculation (PBE) of a geometry-optimized Al2Ag2Ge structure.

- E_form: 0.1229 eV/atom
- Fermi-level density of states: 0.45 states/eV per atom
- Distance to the lowest polymorph of the same formula: 0.023 eV/atom
- Space-group type: P4/mbm, No. 127
- Energy: -3.4381 eV per atom

Unit cell a=7.9461 b=7.9461 c=2.8582 alpha=90.00 beta=90.00 gamma=90.00
Fractional positions:
Ge: 0.0000 0.0000 0.0000
Ag: 0.3679 0.8679 0.0000
Al: 0.1672 0.6672 0.5000
Ge: 0.5000 0.5000 0.0000
Al: 0.6672 0.8328 0.5000
Al: 0.3328 0.1672 0.5000
Ag: 0.1321 0.3679 0.0000
Ag: 0.8679 0.6321 0.0000
Al: 0.8328 0.3328 0.5000
Ag: 0.6321 0.1321 0.0000